Version w
Entry from the Alexandria database: a relaxed structure of PaAgP2 (PBE-GGA).

Cell and atoms, written as POSCAR:
```
PaAgP2
1.0
-1.397 -2.826 2.815
2.591 -1.442 3.012
-1.709 4.018 6.359
P Pa Ag
2 1 1
direct
0.109 0.109 0.674
0.891 0.891 0.326
0.500 0.500 0.500
0.000 0.000 0.000
```

Output
**SG**: R-3m (166)


Version x
Entry from the Alexandria database: a relaxed structure of PaAgP2 (PBE-GGA).

Cell and atoms, written as POSCAR:
```
PaAgP2
1.0
3.610 0.000 0.000
0.000 4.496 0.000
0.000 0.000 4.496
P Pa Ag
2 1 1
direct
0.000 0.000 0.500
0.000 0.500 0.000
0.500 0.000 0.000
0.500 0.500 0.500
```

Output
**SG**: P4/mmm (123)


Stability, descending: version x, version w


Version w
Entry from the Alexandria database: a relaxed structure of Ag2PPb (PBE-GGA).

Cell and atoms, written as POSCAR:
```
Ag2PPb
1.0
-2.377 -1.331 -1.609
0.742 -3.224 1.571
-4.473 1.562 5.318
Ag P Pb
2 1 1
direct
0.000 0.000 0.048
0.000 0.000 0.452
0.500 0.500 0.250
0.500 0.500 0.750
```

Output
**SG**: Pmmm (47)


Version x
Entry from the Alexandria database: a relaxed structure of Ag2PPb (PBE-GGA).

Cell and atoms, written as POSCAR:
```
Ag2PPb
1.0
-1.288 -0.534 4.155
-2.464 -2.315 -1.062
3.688 -4.238 0.599
Ag P Pb
2 1 1
direct
0.000 0.248 0.002
0.000 0.252 0.498
0.500 0.250 0.250
0.500 0.750 0.750
```

Output
**SG**: P2/m (10)


Version y
Entry from the Alexandria database: a relaxed structure of Ag2PPb (PBE-GGA).

Cell and atoms, written as POSCAR:
```
Ag2PPb
1.0
-2.491 4.766 -0.097
-2.184 0.829 -4.845
-0.277 -3.926 3.666
Ag P Pb
2 1 1
direct
0.994 0.994 0.000
0.723 0.223 0.500
0.521 0.521 0.000
0.262 0.762 0.500
```

Output
**SG**: Imm2 (44)


Version z
Entry from the Alexandria database: a relaxed structure of Ag2PPb (PBE-GGA).

Cell and atoms, written as POSCAR:
```
Ag2PPb
1.0
-0.756 6.001 1.078
-0.811 5.212 -3.150
-4.278 4.345 -0.755
Ag P Pb
2 1 1
direct
0.970 0.970 0.970
0.197 0.197 0.197
0.582 0.582 0.582
0.752 0.752 0.752
```

Output
**SG**: R3m (160)


Stability, descending: version z, version x, version w, version y


Version w
Entry from the Alexandria database: a relaxed structure of Ag2PPb (PBE-GGA).

Cell and atoms, written as POSCAR:
```
Ag2PPb
1.0
5.220 -0.052 0.000
1.475 5.008 0.000
-3.348 -2.478 3.147
Ag P Pb
2 1 1
direct
0.000 0.000 0.000
0.500 0.500 0.000
0.250 0.750 0.500
0.750 0.250 0.500
```

Output
**SG**: I4/mmm (139)


Version x
Entry from the Alexandria database: a relaxed structure of Ag2PPb (PBE-GGA).

Cell and atoms, written as POSCAR:
```
Ag2PPb
1.0
0.000 3.463 3.463
3.463 0.000 3.463
3.463 3.463 0.000
Pb P Ag
1 1 2
direct
0.500 0.500 0.500
0.000 0.000 0.000
0.250 0.250 0.250
0.750 0.750 0.750
```

Output
**SG**: Fm-3m (225)


Stability, descending: version w, version x


Version w
Entry from the Alexandria database: a relaxed structure of Ag2PPb (PBE-GGA).

Cell and atoms, written as POSCAR:
```
Ag2PPb
1.0
4.460 0.000 0.000
0.000 3.205 0.056
0.000 1.316 6.062
Ag P Pb
2 1 1
direct
0.000 0.043 0.077
0.500 0.479 0.235
0.000 0.371 0.452
0.500 0.608 0.737
```

Output
**SG**: Pm (6)


Version x
Entry from the Alexandria database: a relaxed structure of Ag2PPb (PBE-GGA).

Cell and atoms, written as POSCAR:
```
Ag2PPb
1.0
4.854 0.000 0.000
0.000 4.854 0.000
2.427 2.427 8.180
Pb P Ag
2 2 4
direct
0.000 0.000 0.000
0.750 0.250 0.500
0.500 0.500 0.000
0.250 0.750 0.500
0.515 0.125 0.250
0.235 0.625 0.250
0.375 0.485 0.750
0.875 0.765 0.750
```

Output
**SG**: I-42d (122)


Version y
Entry from the Alexandria database: a relaxed structure of Ag2PPb (PBE-GGA).

Cell and atoms, written as POSCAR:
```
Ag2PPb
1.0
4.306 -0.053 0.071
2.223 3.689 0.071
2.031 1.131 5.510
Ag P Pb
2 1 1
direct
0.031 0.031 0.909
0.469 0.469 0.591
0.750 0.750 0.750
0.250 0.250 0.250
```

Output
**SG**: C2/m (12)


Version z
Entry from the Alexandria database: a relaxed structure of Ag2PPb (PBE-GGA).

Cell and atoms, written as POSCAR:
```
Ag2PPb
1.0
-0.754 5.063 7.002
-2.573 2.350 7.943
0.806 2.342 8.312
Ag P Pb
2 1 1
direct
0.986 0.986 0.986
0.514 0.514 0.514
0.250 0.250 0.250
0.750 0.750 0.750
```

Output
**SG**: R-3m (166)


Stability, descending: version y, version x, version w, version z


Version w
Entry from the Alexandria database: a relaxed structure of Ag2PPb (PBE-GGA).

Cell and atoms, written as POSCAR:
```
Ag2PPb
1.0
-3.253 -0.529 -1.251
1.180 -2.709 -1.923
-1.290 -4.208 5.134
Ag P Pb
2 1 1
direct
0.000 0.000 0.042
0.500 0.500 0.281
0.000 0.000 0.432
0.500 0.500 0.745
```

Output
**SG**: P4mm (99)


Version x
Entry from the Alexandria database: a relaxed structure of Ag2PPb (PBE-GGA).

Cell and atoms, written as POSCAR:
```
Ag2PPb
1.0
5.155 0.048 0.000
-1.561 4.913 0.000
0.000 0.000 3.260
Ag P Pb
2 1 1
direct
0.000 0.000 0.000
0.500 0.500 0.000
0.500 0.000 0.500
0.000 0.500 0.500
```

Output
**SG**: Cmmm (65)


Version y
Entry from the Alexandria database: a relaxed structure of Ag2PPb (PBE-GGA).

Cell and atoms, written as POSCAR:
```
Ag2PPb
1.0
4.930 0.000 0.000
2.465 4.269 0.000
2.465 1.423 4.025
Ag P Pb
2 1 1
direct
0.000 0.000 0.000
0.250 0.250 0.250
0.500 0.500 0.500
0.750 0.750 0.750
```

Output
**SG**: F-43m (216)


Stability, descending: version w, version y, version x


Version w
Entry from the Alexandria database: a relaxed structure of AgPPb3 (PBE-GGA).

Cell and atoms, written as POSCAR:
```
AgPPb3
1.0
-0.357 -1.265 5.263
-2.781 -4.482 -1.265
4.644 -2.781 -0.354
Pb P Ag
3 1 1
direct
0.000 0.500 0.000
0.000 0.000 0.500
0.500 0.000 0.000
0.500 0.500 0.500
0.000 0.000 0.000
```

Output
**SG**: Pm-3m (221)


Version x
Entry from the Alexandria database: a relaxed structure of AgPPb3 (PBE-GGA).

Cell and atoms, written as POSCAR:
```
AgPPb3
1.0
-5.273 -0.459 1.317
0.923 -5.010 1.948
1.046 2.106 4.921
Pb P Ag
3 1 1
direct
0.000 0.500 0.000
0.000 0.000 0.500
0.500 0.000 0.000
0.000 0.000 0.000
0.500 0.500 0.500
```

Output
**SG**: Pm-3m (221)


Stability, descending: version x, version w


Version w
Entry from the Alexandria database: a relaxed structure of AgP2Pd2 (PBE-GGA).

Cell and atoms, written as POSCAR:
```
AgP2Pd2
1.0
-0.043 -3.329 1.096
1.820 -0.958 -2.838
6.511 -1.140 2.396
P Pd Ag
2 2 1
direct
0.750 0.250 0.500
0.250 0.750 0.500
0.389 0.389 0.223
0.611 0.611 0.777
0.000 0.000 0.000
```

Output
**SG**: I4/mmm (139)


Version x
Entry from the Alexandria database: a relaxed structure of AgP2Pd2 (PBE-GGA).

Cell and atoms, written as POSCAR:
```
AgP2Pd2
1.0
-2.010 -6.017 3.371
5.476 0.742 4.590
-1.784 1.640 1.863
P Pd Ag
4 4 2
direct
0.345 0.845 0.000
0.845 0.655 0.000
0.655 0.155 0.000
0.155 0.345 0.000
0.145 0.645 0.500
0.645 0.855 0.500
0.855 0.355 0.500
0.355 0.145 0.500
0.000 0.000 0.000
0.500 0.500 0.000
```

Output
**SG**: P4/mbm (127)


Stability, descending: version x, version w


Version w
Entry from the Alexandria database: a relaxed structure of AgP2PdS (PBE-GGA).

Cell and atoms, written as POSCAR:
```
AgP2PdS
1.0
4.755 0.000 0.000
0.000 4.755 0.000
0.000 0.000 4.803
P S Pd Ag
2 1 1 1
direct
0.000 0.500 0.000
0.500 0.000 0.000
0.000 0.000 0.500
0.500 0.500 0.500
0.000 0.000 0.000
```

Output
**SG**: P4/mmm (123)


Version x
Entry from the Alexandria database: a relaxed structure of AgP2PdS (PBE-GGA).

Cell and atoms, written as POSCAR:
```
AgP2PdS
1.0
-3.184 3.283 0.253
-2.636 -2.331 -2.932
-2.184 -2.418 3.887
P S Pd Ag
2 1 1 1
direct
0.000 0.500 0.000
0.500 0.000 0.000
0.000 0.000 0.500
0.000 0.000 0.000
0.500 0.500 0.500
```

Output
**SG**: P4/mmm (123)


Stability, descending: version x, version w


Version w
Entry from the Alexandria database: a relaxed structure of PmAgP (PBE-GGA).

Cell and atoms, written as POSCAR:
```
PmAgP
1.0
-0.028 -2.744 -3.707
3.686 -2.595 -0.976
-0.199 -4.579 0.521
P Ag Pm
1 1 1
direct
0.250 0.250 0.250
0.000 0.000 0.000
0.500 0.500 0.500
```

Output
**SG**: F-43m (216)


Version x
Entry from the Alexandria database: a relaxed structure of PmAgP (PBE-GGA).

Cell and atoms, written as POSCAR:
```
PmAgP
1.0
4.048 0.000 0.000
0.000 4.275 0.000
0.000 -2.138 3.702
P Ag Pm
1 1 1
direct
0.166 0.000 0.000
0.168 0.333 0.667
0.667 0.667 0.333
```

Output
**SG**: P3m1 (156)


Stability, descending: version x, version w


Version w
Entry from the Alexandria database: a relaxed structure of AgP2Pt (PBE-GGA).

Cell and atoms, written as POSCAR:
```
AgP2Pt
1.0
4.384 -0.262 0.000
-0.336 4.379 0.000
0.000 0.000 3.302
Ag P Pt
1 2 1
direct
0.000 0.500 0.500
0.000 0.000 0.000
0.500 0.500 0.000
0.500 0.000 0.500
```

Output
**SG**: Cmmm (65)


Version x
Entry from the Alexandria database: a relaxed structure of AgP2Pt (PBE-GGA).

Cell and atoms, written as POSCAR:
```
AgP2Pt
1.0
5.815 -0.010 0.075
3.130 4.901 -0.075
-3.871 -3.545 2.503
Ag P Pt
1 2 1
direct
0.750 0.250 0.500
0.055 0.055 0.000
0.445 0.445 0.000
0.250 0.750 0.500
```

Output
**SG**: Immm (71)


Version y
Entry from the Alexandria database: a relaxed structure of AgP2Pt (PBE-GGA).

Cell and atoms, written as POSCAR:
```
AgP2Pt
1.0
5.062 -0.012 0.000
2.150 4.582 0.000
-3.606 -2.285 2.720
Ag P Pt
1 2 1
direct
0.750 0.250 0.500
0.000 0.000 0.000
0.250 0.750 0.500
0.500 0.500 0.000
```

Output
**SG**: I-4m2 (119)


Stability, descending: version x, version w, version y


Version w
Entry from the Alexandria database: a relaxed structure of AgP2Pt (PBE-GGA).

Cell and atoms, written as POSCAR:
```
AgP2Pt
1.0
-1.776 2.184 2.237
-2.879 -0.139 -2.150
-1.778 -4.161 2.650
Ag P Pt
1 2 1
direct
0.500 0.500 0.878
0.000 0.000 0.858
0.500 0.500 0.366
0.000 0.000 0.398
```

Output
**SG**: P4mm (99)


Version x
Entry from the Alexandria database: a relaxed structure of AgP2Pt (PBE-GGA).

Cell and atoms, written as POSCAR:
```
AgP2Pt
1.0
-4.719 1.495 2.386
-2.581 -4.157 -2.500
-2.511 -4.640 4.269
P Ag Pt
4 2 2
direct
0.657 0.125 0.250
0.093 0.625 0.250
0.375 0.343 0.750
0.875 0.907 0.750
0.500 0.500 0.000
0.250 0.750 0.500
0.000 0.000 0.000
0.750 0.250 0.500
```

Output
**SG**: I-42d (122)


Stability, descending: version x, version w


Version w
Entry from the Alexandria database: a relaxed structure of AgP2Pt (PBE-GGA).

Cell and atoms, written as POSCAR:
```
AgP2Pt
1.0
6.617 -0.096 -0.058
5.680 3.397 -0.058
5.680 1.525 3.036
Ag P Pt
1 2 1
direct
0.750 0.750 0.750
0.983 0.983 0.983
0.517 0.517 0.517
0.250 0.250 0.250
```

Output
**SG**: R-3m (166)


Version x
Entry from the Alexandria database: a relaxed structure of AgP2Pt (PBE-GGA).

Cell and atoms, written as POSCAR:
```
AgP2Pt
1.0
3.464 0.000 0.000
0.000 3.467 0.000
0.000 0.000 5.611
Ag P Pt
1 2 1
direct
0.500 0.500 0.750
0.000 0.000 0.059
0.000 0.000 0.441
0.500 0.500 0.250
```

Output
**SG**: P4/mmm (123)


Stability, descending: version w, version x